The following is a DFT calculation (PBE) of a relaxed KZnN crystal.

Results
Space group ... Fddd
Magnetic moment ... 0.0 μB/cell
E_tot ... -3.452 eV per atom
Density of states at the Fermi level ... 0.00 states/eV per cell

Cell: 6.504 7.398 8.220 Å, 48.87 58.96 72.17°
Element x y z (fractional)
Zn: 0.375 0.875 0.875
Zn: 0.875 0.875 0.375
Zn: 0.875 0.375 0.875
Zn: 0.875 0.875 0.875
K: 0.875 0.375 0.375
K: 0.375 0.375 0.875
K: 0.375 0.875 0.375
K: 0.375 0.375 0.375
N: 0.194 0.806 0.806
N: 0.944 0.556 0.556
N: 0.806 0.194 0.194
N: 0.556 0.944 0.944